# YTm4Th2

An optimized crystal structure of YTm4Th2 (PBE, Alexandria).

Values from the calculation:
Excess energy over the best structure of this formula in the dataset in meV/atom: 251
Total magnetization in μB per formula unit: 0.00
Formation energy in eV per atom: 0.278
V in Å³ per cell: 472
DOS(E_F) in states/eV/f.u.: 10.41

Lattice parameters (Å, degrees): 6.792 6.792 10.535 90.00 90.00 103.68
Fractional positions:
Tm (0.201, 0.201, 0.500)
Th (0.706, 0.295, 0.500)
Y (0.500, 0.500, 0.750)
Tm (0.000, 0.500, 0.750)
Tm (0.000, 0.500, 0.250)
Tm (0.500, 0.000, 0.750)
Tm (0.799, 0.799, 0.500)
Y (0.500, 0.500, 0.250)
Tm (0.500, 0.000, 0.250)
Tm (0.799, 0.799, 0.000)
Th (0.294, 0.705, 0.500)
Th (0.705, 0.294, 0.000)
Th (0.295, 0.706, 0.000)
Tm (0.201, 0.201, 0.000)

***

# YTi2

An optimized crystal structure of YTi2 (PBE, Alexandria).

Values from the calculation:
Total magnetization in μB per formula unit: 4.78
Formation energy in eV per atom: 0.232
V in Å³ per cell: 139
DOS(E_F) in states/eV/f.u.: 3.53

Lattice parameters (Å, degrees): 5.814 5.814 5.814 60.00 60.00 60.00
Each line ends with the local moment (μB).
Fractional positions:
Y (0.000, 0.000, 0.000)  0.49
Ti (0.625, 0.625, 0.125)  1.34
Y (0.250, 0.250, 0.250)  0.49
Ti (0.625, 0.125, 0.625)  1.34
Ti (0.125, 0.625, 0.625)  1.34
Ti (0.625, 0.625, 0.625)  1.34

***

# Ce2Sm2Te5

An optimized crystal structure of Ce2Sm2Te5 (PBE, Alexandria).

Values from the calculation:
E_form (uncorrected) in eV per atom: -1.342
Total magnetization in μB per formula unit: 3.19
V in Å³ per cell: 564
DOS(E_F) in states/eV/f.u.: 18.83

Lattice parameters (Å, degrees): 8.394 9.032 9.032 124.58 90.00 90.00
Each line ends with the local moment (μB).
Fractional positions:
Ce (0.500, 0.696, 0.304)  1.15
Te (0.346, 0.979, 0.704)  -0.01
Sm (0.651, 0.853, 0.853)  0.10
Sm (0.349, 0.147, 0.147)  0.10
Ce (0.000, 0.804, 0.196)  1.15
Te (0.654, 0.021, 0.296)  -0.01
Te (0.500, 0.500, 0.500)  -0.01
Te (0.846, 0.796, 0.521)  -0.01
Te (0.846, 0.521, 0.796)  -0.01
Sm (0.151, 0.647, 0.647)  0.10
Ce (0.000, 0.196, 0.804)  1.15
Te (0.654, 0.296, 0.021)  -0.01
Te (0.346, 0.704, 0.979)  -0.01
Te (0.000, 0.000, 0.000)  -0.01
Te (0.154, 0.204, 0.479)  -0.01
Te (0.154, 0.479, 0.204)  -0.01
Ce (0.500, 0.304, 0.696)  1.15
Sm (0.849, 0.353, 0.353)  0.10

***

# Ta3C

An optimized crystal structure of Ta3C (PBE, Alexandria).

Values from the calculation:
Excess energy over the best structure of this formula in the dataset in meV/atom: 619
Total magnetization in μB per formula unit: 0.00
Formation energy in eV per atom: 0.257
V in Å³ per cell: 123
DOS(E_F) in states/eV/f.u.: 2.71

Lattice parameters (Å, degrees): 6.599 6.599 2.900 90.00 90.00 103.41
Fractional positions:
C (0.541, 0.459, 0.750)
Ta (0.880, 0.120, 0.250)
Ta (0.551, 0.820, 0.750)
Ta (0.180, 0.449, 0.750)
Ta (0.120, 0.880, 0.750)
Ta (0.449, 0.180, 0.250)
Ta (0.820, 0.551, 0.250)
C (0.459, 0.541, 0.250)

***

# RbTlCdTe2

An optimized crystal structure of RbTlCdTe2 (PBE, Alexandria).

Values from the calculation:
E_form (uncorrected) in eV per atom: -0.603
Total magnetization in μB per formula unit: 0.00
V in Å³ per cell: 411

Lattice parameters (Å, degrees): 4.812 10.068 9.920 62.94 75.96 76.17
Fractional positions:
Cd (0.942, 0.915, 0.201)
Cd (0.058, 0.085, 0.799)
Tl (0.591, 0.587, 0.231)
Te (0.121, 0.762, 0.995)
Rb (0.237, 0.228, 0.297)
Tl (0.409, 0.413, 0.769)
Te (0.605, 0.178, 0.612)
Rb (0.763, 0.772, 0.703)
Te (0.395, 0.822, 0.388)
Te (0.879, 0.238, 0.005)

***

# TmThSb

An optimized crystal structure of TmThSb (PBE, Alexandria).

Values from the calculation:
E_form (uncorrected) in eV per atom: -0.663
Total magnetization in μB per formula unit: 0.00
V in Å³ per cell: 175
DOS(E_F) in states/eV/f.u.: 2.51

Lattice parameters (Å, degrees): 4.475 4.475 8.716 90.00 90.00 90.00
Fractional positions:
Th (0.000, 0.500, 0.857)
Sb (0.500, 0.000, 0.763)
Tm (0.500, 0.500, 0.500)
Th (0.500, 0.000, 0.143)
Tm (0.000, 0.000, 0.500)
Sb (0.000, 0.500, 0.237)

***

Repeat the fifth record exactly.
# RbTlCdTe2

An optimized crystal structure of RbTlCdTe2 (PBE, Alexandria).

Values from the calculation:
E_form (uncorrected) in eV per atom: -0.603
Total magnetization in μB per formula unit: 0.00
V in Å³ per cell: 411

Lattice parameters (Å, degrees): 4.812 10.068 9.920 62.94 75.96 76.17
Fractional positions:
Cd (0.942, 0.915, 0.201)
Cd (0.058, 0.085, 0.799)
Tl (0.591, 0.587, 0.231)
Te (0.121, 0.762, 0.995)
Rb (0.237, 0.228, 0.297)
Tl (0.409, 0.413, 0.769)
Te (0.605, 0.178, 0.612)
Rb (0.763, 0.772, 0.703)
Te (0.395, 0.822, 0.388)
Te (0.879, 0.238, 0.005)

***

Which of these has the highest total magnetization?
YTi2

***

What is the formula in the fifth record?
RbTlCdTe2